[1]
Computed, not measured: a geometry-optimized Mn2W2O7 structure at the PBE+U level of DFT.

Calculated values
Magnetic moment ... 12.00 μB/f.u.
Space group ... Fd-3m, No. 227
Calculated volume ... 279.15 Å³/cell
E ... -7.59 eV per atom

a = 7.3359 Å, b = 7.3359 Å, c = 7.3359 Å
α = 60.00°, β = 60.00°, γ = 60.00°
Closest atoms and distances in Å follow each position.
Element x y z (fractional)
O (0.4465, 0.4465, 0.0535)  2 W 1.98
O (0.4465, 0.0535, 0.0535)  2 W 1.98
W (0.6250, 0.1250, 0.1250)  6 O 1.98
O (0.4465, 0.0535, 0.4465)  2 W 1.98
O (0.1965, 0.1965, 0.8035)  2 W 1.98
W (0.1250, 0.6250, 0.1250)  6 O 1.98
O (0.8035, 0.1965, 0.1965)  2 W 1.98
W (0.1250, 0.1250, 0.1250)  6 O 1.98
O (0.0535, 0.0535, 0.4465)  2 W 1.98
O (0.8035, 0.1965, 0.8035)  2 W 1.98
O (0.8035, 0.8035, 0.1965)  2 W 1.98
Mn (0.6250, 0.6250, 0.1250)  2 O 2.25
W (0.1250, 0.1250, 0.6250)  6 O 1.98
Mn (0.6250, 0.1250, 0.6250)  2 O 2.25
O (0.1965, 0.8035, 0.8035)  2 W 1.98
O (0.1965, 0.8035, 0.1965)  2 W 1.98
O (0.0535, 0.4465, 0.0535)  2 W 1.98
Mn (0.6250, 0.6250, 0.6250)  2 O 2.25
Mn (0.1250, 0.6250, 0.6250)  2 O 2.25
O (0.5000, 0.5000, 0.5000)  4 Mn 2.25
O (0.0535, 0.4465, 0.4465)  2 W 1.98
O (0.7500, 0.7500, 0.7500)  4 Mn 2.25

[2]
Computed, not measured: a geometry-optimized Mn2WO structure at the PBE+U level of DFT.

Calculated values
Magnetic moment ... 4.94 μB/f.u.
Space group ... I-42d, No. 122
Calculated volume ... 137.99 Å³/cell
E ... -6.62 eV per atom

a = 6.5409 Å, b = 6.5409 Å, c = 5.6386 Å
α = 54.55°, β = 54.55°, γ = 90.00°
Closest atoms and distances in Å follow each position.
Element x y z (fractional)
O (0.5000, 0.5000, 0.0000)  4 Mn 2.07
Mn (0.8750, 0.7742, 0.7500)  2 O 2.07
O (0.2500, 0.7500, 0.5000)  4 Mn 2.07
Mn (0.3750, 0.4758, 0.7500)  2 O 2.07
Mn (0.5242, 0.1250, 0.2500)  2 O 2.07
Mn (0.2258, 0.6250, 0.2500)  2 O 2.07
W (0.0000, 0.0000, 0.0000)  8 Mn 2.93-3.08, 2 O 3.23
W (0.7500, 0.2500, 0.5000)  8 Mn 2.93-3.08, 2 O 3.23

[3]
Computed, not measured: a geometry-optimized MnW3O structure at the PBE+U level of DFT.

Calculated values
Magnetic moment ... 5.08 μB/f.u.
Space group ... Pm-3m, No. 221
Calculated volume ... 75.43 Å³/cell
E ... -6.00 eV per atom

a = 4.2252 Å, b = 4.2252 Å, c = 4.2252 Å
α = 90.00°, β = 90.00°, γ = 90.00°
Closest atoms and distances in Å follow each position.
Element x y z (fractional)
O (0.0000, 0.0000, 0.0000)  6 W 2.11
Mn (0.5000, 0.5000, 0.5000)  12 W 2.99
W (0.5000, 0.0000, 0.0000)  2 O 2.11
W (0.0000, 0.5000, 0.0000)  2 O 2.11
W (0.0000, 0.0000, 0.5000)  2 O 2.11

[4]
Computed, not measured: a geometry-optimized MnW2O8 structure at the PBE+U level of DFT.

Calculated values
Magnetic moment ... 2.95 μB/f.u.
Space group ... P2/c, No. 13
Calculated volume ... 260.17 Å³/cell
E ... -7.25 eV per atom

a = 5.6962 Å, b = 5.0208 Å, c = 10.3687 Å
α = 61.32°, β = 90.00°, γ = 90.00°
Closest atoms and distances in Å follow each position.
Element x y z (fractional)
W (0.1746, 0.2632, 0.5036)  4 O 1.85-2.06
O (0.1086, 0.4527, 0.6148)  1 W 1.85
O (0.4078, 0.0062, 0.6226)  1 W 1.85, 1 Mn 1.91
O (0.8863, 0.0284, 0.8897)  1 Mn 2.03, 2 W 2.06-2.12
Mn (0.3486, 0.0000, 0.2500)  6 O 1.91-2.03
O (0.1137, 0.9716, 0.1103)  1 Mn 2.03, 2 W 2.06-2.12
O (0.1086, 0.5473, 0.8852)  1 W 1.85
O (0.1137, 0.0284, 0.3897)  1 Mn 2.03, 2 W 2.06-2.12
O (0.6458, 0.5680, 0.8608)  1 W 1.85, 1 Mn 1.91
O (0.3542, 0.5680, 0.3608)  1 W 1.85, 1 Mn 1.91
O (0.4078, 0.9938, 0.8774)  1 W 1.85, 1 Mn 1.91
W (0.8254, 0.7368, 0.4964)  4 O 1.85-2.06
O (0.5922, 0.0062, 0.1226)  1 W 1.85, 1 Mn 1.91
W (0.1746, 0.7368, 0.9964)  4 O 1.85-2.06
O (0.8914, 0.5473, 0.3852)  1 W 1.85
O (0.8914, 0.4527, 0.1148)  1 W 1.85
O (0.8863, 0.9716, 0.6103)  1 Mn 2.03, 2 W 2.06-2.12
O (0.3542, 0.4320, 0.1392)  1 W 1.85, 1 Mn 1.91
O (0.5922, 0.9938, 0.3774)  1 W 1.85, 1 Mn 1.91
W (0.8254, 0.2632, 0.0036)  4 O 1.85-2.06
Mn (0.6514, 0.0000, 0.7500)  6 O 1.91-2.03
O (0.6458, 0.4320, 0.6392)  1 W 1.85, 1 Mn 1.91

[5]
Computed, not measured: a geometry-optimized YMnW2O8 structure at the PBE+U level of DFT.

Calculated values
E above lowest polymorph ... 0.0 meV/atom
Magnetic moment ... 6.00 μB/f.u.
Space group ... P-1, No. 2
Calculated volume ... 309.83 Å³/cell

a = 5.2295 Å, b = 5.8687 Å, c = 10.1193 Å
α = 89.52°, β = 93.75°, γ = 88.83°
Closest atoms and distances in Å follow each position.
Element x y z (fractional)
O (0.1252, 0.3908, 0.8774)  1 W 1.89
O (0.9045, 0.6338, 0.6283)  1 W 1.83
O (0.4531, 0.9008, 0.6051)  2 W 1.96-2.14
O (0.0444, 0.9211, 0.8840)  2 W 2.01-2.14, 1 Mn 2.14
Mn (0.7478, 0.3027, 0.2384)  5 O 2.08-2.30
O (0.4330, 0.8893, 0.0966)  2 W 2.06-2.08, 1 Y 2.19
O (0.6090, 0.6288, 0.8588)  1 W 1.96, 1 Mn 2.08
O (0.3889, 0.3690, 0.6174)  1 W 1.83
W (0.2488, 0.1698, 0.4962)  4 O 1.83-1.98
O (0.0955, 0.3662, 0.3717)  1 W 1.84
O (0.9459, 0.1085, 0.5976)  2 W 1.98-2.14
O (0.8747, 0.6092, 0.1226)  1 W 1.89
W (0.7512, 0.8302, 0.5038)  4 O 1.83-1.98
O (0.3910, 0.3712, 0.1412)  1 W 1.96, 1 Mn 2.08
O (0.6111, 0.6310, 0.3826)  1 W 1.83
W (0.2427, 0.1678, 0.0049)  5 O 1.89-2.08
O (0.5469, 0.0992, 0.3949)  2 W 1.96-2.14
O (0.5670, 0.1107, 0.9034)  2 W 2.06-2.08, 1 Y 2.19
O (0.9556, 0.0789, 0.1160)  2 W 2.01-2.14, 1 Mn 2.14
Y (0.7574, 0.3184, 0.7605)  6 O 2.19-2.44
Mn (0.2522, 0.6973, 0.7616)  5 O 2.08-2.30
O (0.0541, 0.8915, 0.4024)  2 W 1.98-2.14
Y (0.2426, 0.6816, 0.2394)  6 O 2.19-2.44
W (0.7573, 0.8322, 0.9951)  5 O 1.89-2.08

[6]
Computed, not measured: a geometry-optimized YMnW2O8 structure at the PBE+U level of DFT.

Calculated values
E above lowest polymorph ... 32.6 meV/atom
Magnetic moment ... 6.00 μB/f.u.
Space group ... P1, No. 1
Calculated volume ... 161.19 Å³/cell

a = 5.2741 Å, b = 5.9722 Å, c = 6.0677 Å
α = 69.67°, β = 65.29°, γ = 88.52°
Closest atoms and distances in Å follow each position.
Element x y z (fractional)
W (0.7070, 0.3699, 0.4175)  3 O 1.84-2.00
O (0.2306, 0.7608, 0.6483)  1 W 1.88
O (0.3004, 0.2307, 0.6249)  2 W 2.00-2.18, 1 Mn 2.06
O (0.7158, 0.6283, 0.1375)  1 W 1.84
Y (0.4676, 0.7312, 0.8949)  6 O 2.27-2.32
Mn (0.9912, 0.3853, 0.8446)  4 O 2.06-2.25
O (0.6337, 0.1632, 0.2146)  1 W 1.92
O (0.8221, 0.0475, 0.6034)  2 W 2.01-2.09
O (0.1515, 0.3840, 0.1932)  2 W 2.08-2.15
W (0.2350, 0.0521, 0.3909)  4 O 1.80-2.01
O (0.2267, 0.9266, 0.1626)  1 W 1.80
O (0.7184, 0.4989, 0.6715)  1 W 1.97, 1 Mn 2.09

[7]
Computed, not measured: a geometry-optimized MnZnWO6 structure at the PBE+U level of DFT.

Calculated values
Magnetic moment ... 3.01 μB/f.u.
Space group ... P4_2nm, No. 102
Calculated volume ... 197.15 Å³/cell
E ... -6.68 eV per atom

a = 4.6711 Å, b = 4.6711 Å, c = 9.0355 Å
α = 90.00°, β = 90.00°, γ = 90.00°
Closest atoms and distances in Å follow each position.
Element x y z (fractional)
O (0.1847, 0.8153, 0.4997)  1 Mn 1.94, 1 W 1.97, 1 Zn 2.08
W (0.0000, 0.0000, 0.6705)  6 O 1.93-1.97
Zn (0.0000, 0.0000, 0.0031)  6 O 2.07-2.15
O (0.7028, 0.7028, 0.6770)  1 Mn 1.94, 1 W 1.96, 1 Zn 2.07
O (0.2916, 0.2916, 0.3202)  1 W 1.93, 1 Mn 1.93, 1 Zn 2.15
O (0.7972, 0.2028, 0.1770)  1 Mn 1.94, 1 W 1.96, 1 Zn 2.07
W (0.5000, 0.5000, 0.1705)  6 O 1.93-1.97
O (0.2084, 0.7916, 0.8202)  1 W 1.93, 1 Mn 1.93, 1 Zn 2.15
O (0.2028, 0.7972, 0.1770)  1 Mn 1.94, 1 W 1.96, 1 Zn 2.07
O (0.6847, 0.6847, 0.9997)  1 Mn 1.94, 1 W 1.97, 1 Zn 2.08
O (0.8153, 0.1847, 0.4997)  1 Mn 1.94, 1 W 1.97, 1 Zn 2.08
Mn (0.5000, 0.5000, 0.8326)  6 O 1.93-1.94
O (0.3153, 0.3153, 0.9997)  1 Mn 1.94, 1 W 1.97, 1 Zn 2.08
O (0.7084, 0.7084, 0.3202)  1 W 1.93, 1 Mn 1.93, 1 Zn 2.15
Zn (0.5000, 0.5000, 0.5031)  6 O 2.07-2.15
O (0.2972, 0.2972, 0.6770)  1 Mn 1.94, 1 W 1.96, 1 Zn 2.07
Mn (0.0000, 0.0000, 0.3326)  6 O 1.93-1.94
O (0.7916, 0.2084, 0.8202)  1 W 1.93, 1 Mn 1.93, 1 Zn 2.15

[8]
Computed, not measured: a geometry-optimized MnZn2WO6 structure at the PBE+U level of DFT.

Calculated values
E above lowest polymorph ... 29.6 meV/atom
Magnetic moment ... 5.00 μB/f.u.
Space group ... P2_1/c, No. 14
Calculated volume ... 226.46 Å³/cell

a = 5.3170 Å, b = 7.9787 Å, c = 5.3401 Å
α = 88.53°, β = 90.00°, γ = 90.00°
Closest atoms and distances in Å follow each position.
Element x y z (fractional)
O (0.3956, 0.2277, 0.1178)  1 W 2.02, 2 Zn 2.07
O (0.8097, 0.0876, 0.8583)  1 W 1.94, 1 Zn 2.00
W (0.5000, 0.0000, 0.0000)  6 O 1.94-2.02
O (0.6043, 0.7723, 0.8823)  1 W 2.02, 2 Zn 2.07
O (0.3098, 0.4124, 0.6417)  1 W 1.94, 1 Zn 2.00
Mn (0.0000, 0.0000, 0.4999)  6 O 2.09-2.31
Zn (0.0229, 0.2616, 0.0162)  4 O 2.00-2.07
O (0.3392, 0.0523, 0.6814)  1 W 1.94, 1 Zn 2.05, 1 Mn 2.09
O (0.6903, 0.5876, 0.3583)  1 W 1.94, 1 Zn 2.00
O (0.6607, 0.9478, 0.3186)  1 W 1.94, 1 Zn 2.05, 1 Mn 2.09
Zn (0.9771, 0.7384, 0.9838)  4 O 2.00-2.07
O (0.1608, 0.5523, 0.1815)  1 W 1.94, 1 Zn 2.05, 1 Mn 2.09
Zn (0.4771, 0.7616, 0.5162)  4 O 2.00-2.07
O (0.1903, 0.9124, 0.1417)  1 W 1.94, 1 Zn 2.00
O (0.8957, 0.2723, 0.3823)  1 W 2.02, 2 Zn 2.07
O (0.8393, 0.4478, 0.8186)  1 W 1.94, 1 Zn 2.05, 1 Mn 2.09
W (0.0000, 0.5000, 0.5000)  6 O 1.94-2.02
Mn (0.5000, 0.5000, 0.9999)  6 O 2.09-2.31
O (0.1044, 0.7277, 0.6178)  1 W 2.02, 2 Zn 2.07
Zn (0.5229, 0.2384, 0.4838)  4 O 2.00-2.07

Q: Look up the calculated volume of the sixth one.
A: 161.19 Å³/cell